Below is crystalline AcLaTbEr at its relaxed geometry, with properties calculated at the PBE level.

Computed properties:
energy of formation: 0.10 eV per atom
ρ: 7.94 g cm⁻³

Lattice parameters (Å, degrees): 5.8928 5.8928 5.8928 60.00 60.00 60.00
Element x y z (fractional)
La  0.7500  0.7500  0.7500
Er  0.0000  0.0000  0.0000
Ac  0.2500  0.2500  0.2500
Tb  0.5000  0.5000  0.5000